[1]
First-principles (PBE) data for Ac4Pr3Ho2 after structural relaxation, as listed in Alexandria via LeMat-Bulk.

* calculated volume: 38.73 Å³/atom
* DFT total energy: -39.56 eV/cell
* ρ: 7910 kg/m3

a = 6.5060 Å, b = 6.5060 Å, c = 11.3746 Å
α = 105.44°, β = 105.44°, γ = 49.22°
Sites, in units of the cell vectors:
Ac  0.0019  0.0019  0.3312
Ac  0.3333  0.3333  0.1111
Ac  0.6667  0.6667  0.8889
Ac  0.9981  0.9981  0.6688
Pr  0.0000  0.0000  0.0000
Pr  0.3334  0.3334  0.4471
Pr  0.6666  0.6666  0.5529
Ho  0.3299  0.3299  0.7732
Ho  0.6701  0.6701  0.2268

---

[2]
First-principles (PBE) data for AcPr2Ho8 after structural relaxation, as listed in Alexandria via LeMat-Bulk.

* calculated volume: 34.59 Å³/atom
* DFT total energy: -48.74 eV/cell
* ρ: 7979 kg/m3
* ΔE to the lowest computed polymorph: 5 meV/atom

a = 10.2860 Å, b = 10.2860 Å, c = 5.5348 Å
α = 92.81°, β = 92.81°, γ = 40.59°
Sites, in units of the cell vectors:
Ac  0.0000  0.0000  0.0000
Pr  0.2859  0.2859  0.7525
Pr  0.7141  0.7141  0.2475
Ho  0.1363  0.5965  0.2697
Ho  0.1884  0.1884  0.2345
Ho  0.4035  0.8637  0.7303
Ho  0.4545  0.4545  0.7590
Ho  0.5455  0.5455  0.2410
Ho  0.5965  0.1363  0.2697
Ho  0.8116  0.8116  0.7655
Ho  0.8637  0.4035  0.7303

---

[3]
First-principles (PBE) data for AcPr6Ho after structural relaxation, as listed in Alexandria via LeMat-Bulk.

* calculated volume: 36.55 Å³/atom
* DFT total energy: -37.18 eV/cell
* ρ: 7027 kg/m3

a = 5.2689 Å, b = 5.2689 Å, c = 10.5333 Å
α = 90.00°, β = 90.00°, γ = 90.00°
Sites, in units of the cell vectors:
Ac  0.0000  0.0000  0.0000
Pr  0.0000  0.5000  0.2582
Pr  0.0000  0.5000  0.7418
Pr  0.5000  0.0000  0.2582
Pr  0.5000  0.0000  0.7418
Pr  0.5000  0.5000  0.0000
Pr  0.5000  0.5000  0.5000
Ho  0.0000  0.0000  0.5000

---

What is the ρ in the second record?
7979 kg/m3